# 1
The following is a DFT calculation (PBE-GGA) of a geometry-optimized FeOs4Ru structure.

The energy of formation from the pure elements comes out at 0.7936 eV per atom. The calculation puts the total DFT energy (no corrections) at -9.6493 eV/atom. As for the density of states at the Fermi level: 1.77 states/eV per atom.

abc: 5.0865 5.0865 5.0865
angles: 60.00 60.00 60.00
With the nearest neighbours (Å) after each atom.
Atoms (fractional coordinates):
Fe1 0.0000 0.0000 0.0000  12 Os 2.98, 4 Ru 3.11
Os1 0.8744 0.3752 0.3752  6 Os 2.54-2.55
Os2 0.3752 0.3752 0.8744  6 Os 2.54-2.55
Os3 0.3752 0.8744 0.3752  6 Os 2.54-2.55
Os4 0.3752 0.3752 0.3752  6 Os 2.54-2.55
Ru1 0.7500 0.7500 0.7500  12 Os 2.98, 4 Fe 3.11



# 2
The following is a DFT calculation (PBE-GGA) of a geometry-optimized FeOs2Ru structure.

The energy of formation from the pure elements comes out at 0.1473 eV per atom. The calculation puts the total DFT energy (no corrections) at -9.9022 eV/atom. The offset from the most stable computed form is 12.0 meV per atom. As for the density of states at the Fermi level: 1.19 states/eV per atom.

abc: 4.6148 4.6148 4.6148
angles: 131.63 131.63 70.82
With the nearest neighbours (Å) after each atom.
Atoms (fractional coordinates):
Fe1 0.7500 0.2500 0.5000  8 Os 2.67, 4 Ru 2.67
Os1 0.0000 0.0000 0.0000  4 Fe 2.67, 4 Os 2.67, 4 Ru 2.67
Os2 0.2500 0.7500 0.5000  4 Os 2.67, 4 Ru 2.67, 4 Fe 2.67
Ru1 0.5000 0.5000 0.0000  4 Fe 2.67, 8 Os 2.67



# 3
The following is a DFT calculation (PBE-GGA) of a geometry-optimized FeOs2Ru structure.

The energy of formation from the pure elements comes out at 0.4922 eV per atom. The calculation puts the total DFT energy (no corrections) at -9.5573 eV/atom. The offset from the most stable computed form is 356.9 meV per atom. As for the density of states at the Fermi level: 1.73 states/eV per atom.

abc: 4.2992 4.2992 4.2998
angles: 60.00 60.00 60.00
With the nearest neighbours (Å) after each atom.
Atoms (fractional coordinates):
Fe1 0.5000 0.5000 0.5000  4 Os 2.63, 4 Ru 2.63
Os1 0.0000 0.0000 0.0000  4 Os 2.63, 4 Ru 2.63
Os2 0.2499 0.2499 0.2502  4 Os 2.63, 4 Fe 2.63
Ru1 0.7501 0.7501 0.7498  4 Fe 2.63, 4 Os 2.63



# 4
The following is a DFT calculation (PBE-GGA) of a geometry-optimized FeOs2Ru structure.

The energy of formation from the pure elements comes out at 0.4876 eV per atom. The calculation puts the total DFT energy (no corrections) at -9.5619 eV/atom. The offset from the most stable computed form is 352.4 meV per atom. As for the density of states at the Fermi level: 1.32 states/eV per atom.

abc: 2.6593 2.6593 8.9811
angles: 90.00 90.00 117.17
With the nearest neighbours (Å) after each atom.
Atoms (fractional coordinates):
Fe1 0.5000 0.5000 0.7490  2 Ru 2.56, 2 Os 2.58, 6 Fe 2.66-2.77
Os1 0.0000 0.0000 0.9907  2 Fe 2.58, 8 Os 2.66-2.77
Os2 0.5000 0.5000 0.2515  8 Os 2.66-2.77, 2 Ru 2.70
Ru1 0.0000 0.0000 0.5089  2 Fe 2.56, 6 Ru 2.66-2.77, 2 Os 2.70



# 5
The following is a DFT calculation (PBE-GGA) of a geometry-optimized Fe2OsRu structure.

The energy of formation from the pure elements comes out at 0.3058 eV per atom. The calculation puts the total DFT energy (no corrections) at -9.0519 eV/atom. As for the density of states at the Fermi level: 1.11 states/eV per atom.

abc: 2.6275 2.6275 8.5799
angles: 90.00 90.00 115.37
With the nearest neighbours (Å) after each atom.
Atoms (fractional coordinates):
Fe1 0.0000 0.0000 0.0087  6 Fe 2.43-2.63, 2 Ru 2.56
Fe2 0.5000 0.5000 0.2405  6 Fe 2.43-2.63, 2 Os 2.57
Os1 0.0000 0.0000 0.4909  2 Fe 2.57, 6 Os 2.63-2.81, 2 Ru 2.70
Ru1 0.5000 0.5000 0.7599  2 Fe 2.56, 6 Ru 2.63-2.81, 2 Os 2.70



# 6
The following is a DFT calculation (PBE-GGA) of a geometry-optimized FeOs2Ru structure.

The energy of formation from the pure elements comes out at 0.5284 eV per atom. The calculation puts the total DFT energy (no corrections) at -9.5211 eV/atom. The offset from the most stable computed form is 393.2 meV per atom. As for the density of states at the Fermi level: 1.47 states/eV per atom.

abc: 4.2953 4.2953 4.2953
angles: 60.00 60.00 60.00
With the nearest neighbours (Å) after each atom.
Atoms (fractional coordinates):
Ru1 0.5000 0.5000 0.5000  8 Os 2.63
Os1 0.2500 0.2500 0.2500  4 Fe 2.63, 4 Ru 2.63
Os2 0.7500 0.7500 0.7500  4 Fe 2.63, 4 Ru 2.63
Fe1 0.0000 0.0000 0.0000  8 Os 2.63



# 7
The following is a DFT calculation (PBE-GGA) of a geometry-optimized Fe2Os2Ru structure.

The energy of formation from the pure elements comes out at 0.2481 eV per atom. The calculation puts the total DFT energy (no corrections) at -9.4840 eV/atom. As for the density of states at the Fermi level: 1.03 states/eV per atom.

abc: 6.9576 6.9576 2.6814
angles: 90.00 90.00 90.00
With the nearest neighbours (Å) after each atom.
Atoms (fractional coordinates):
Ru1 0.0000 0.0000 0.0000  2 Ru 2.68, 4 Fe 2.77, 8 Os 2.90
Ru2 0.5000 0.5000 0.0000  2 Ru 2.68, 4 Fe 2.77, 8 Os 2.90
Os1 0.1748 0.6748 0.5000  6 Fe 2.42-2.48, 2 Os 2.68
Os2 0.6748 0.8252 0.5000  6 Fe 2.42-2.48, 2 Os 2.68
Os3 0.8252 0.3252 0.5000  6 Fe 2.42-2.48, 2 Os 2.68
Os4 0.3252 0.1748 0.5000  6 Fe 2.42-2.48, 2 Os 2.68
Fe1 0.3795 0.8795 0.0000  1 Fe 2.37, 6 Os 2.42-2.48
Fe2 0.8795 0.6205 0.0000  1 Fe 2.37, 6 Os 2.42-2.48
Fe3 0.6205 0.1205 0.0000  1 Fe 2.37, 6 Os 2.42-2.48
Fe4 0.1205 0.3795 0.0000  1 Fe 2.37, 6 Os 2.42-2.48



# 8
The following is a DFT calculation (PBE-GGA) of a geometry-optimized FeOs2Ru structure.

The energy of formation from the pure elements comes out at 0.4602 eV per atom. The calculation puts the total DFT energy (no corrections) at -9.5893 eV/atom. The offset from the most stable computed form is 325.0 meV per atom. As for the density of states at the Fermi level: 1.50 states/eV per atom.

abc: 2.7694 4.5057 4.5203
angles: 90.00 90.00 90.00
With the nearest neighbours (Å) after each atom.
Atoms (fractional coordinates):
Fe1 0.0000 0.5000 0.5000  4 Ru 2.64, 4 Os 2.65, 2 Fe 2.77
Os1 0.0000 0.0000 0.0000  6 Os 2.64-2.77, 4 Ru 2.65
Os2 0.5000 0.5000 0.0000  6 Os 2.64-2.77, 4 Fe 2.65
Ru1 0.5000 0.0000 0.5000  4 Fe 2.64, 4 Os 2.65, 2 Ru 2.77



Which value of total DFT energy (no corrections) does entry 4 give? -9.5619 eV/atom